VASP calculation (GGA-PBE) on crystalline BaPt3 at its relaxed geometry.

Properties
- E_tot (eV/atom) = -3.00

The structure in extended XYZ format:
```
4
Lattice="5.544 0.000 0.000 0.000 5.544 0.000 0.000 0.000 5.544" Properties=species:S:1:pos:R:3 pbc="T T T"
Ba 0.000 0.000 0.000
Pt 0.000 0.000 2.772
Pt 0.000 2.772 0.000
Pt 2.772 0.000 0.000
```


VASP calculation (GGA-PBE) on crystalline BaPt2 at its relaxed geometry.

Properties
- E_tot (eV/atom) = -4.95

The structure in extended XYZ format:
```
6
Lattice="2.085 -8.824 0.000 2.085 8.824 0.000 0.000 0.000 4.349" Properties=species:S:1:pos:R:3 pbc="T T T"
Ba 2.085 7.094 3.262
Ba 2.085 -7.094 1.087
Pt 2.085 4.350 1.087
Pt 2.085 2.679 3.262
Pt 2.085 -2.679 1.087
Pt 2.085 -4.350 3.262
```


VASP calculation (GGA-PBE) on crystalline BaPt2 at its relaxed geometry.

Properties
- E_tot (eV/atom) = -5.03

The structure in extended XYZ format:
```
3
Lattice="-1.861 1.861 5.413 1.861 -1.861 5.413 1.861 1.861 -5.413" Properties=species:S:1:pos:R:3 pbc="T T T"
Ba 0.000 0.000 0.000
Pt 0.000 0.000 3.013
Pt 0.000 0.000 7.813
```


VASP calculation (GGA-PBE) on crystalline BaPt3 at its relaxed geometry.

Properties
- E_tot (eV/atom) = -5.04

The structure in extended XYZ format:
```
4
Lattice="-1.822 4.694 2.572 1.822 -4.694 2.572 1.822 4.694 -2.572" Properties=species:S:1:pos:R:3 pbc="T T T"
Ba 0.000 0.000 0.000
Pt 1.822 2.728 -0.163
Pt 0.000 4.694 0.073
Pt 0.000 1.966 2.409
```


VASP calculation (GGA-PBE) on crystalline BaPt2 at its relaxed geometry.

Properties
- E_tot (eV/atom) = -5.31

The structure in extended XYZ format:
```
6
Lattice="-2.295 2.295 7.608 2.295 -2.295 7.608 2.295 2.295 -7.608" Properties=species:S:1:pos:R:3 pbc="T T T"
Ba 2.295 1.147 1.902
Ba 0.000 1.147 5.706
Pt 2.295 -1.147 4.396
Pt 2.295 -1.147 7.017
Pt 0.000 3.442 0.591
Pt 0.000 3.442 3.213
```


VASP calculation (GGA-PBE) on crystalline Ba5Pt3 at its relaxed geometry.

Properties
- polymorph energy (0 for the lowest one) (eV/f.u.) = 0.14

The structure in extended XYZ format:
```
16
Lattice="9.316 0.000 0.000 -4.658 8.068 0.000 0.000 0.000 7.624" Properties=species:S:1:pos:R:3 pbc="T T T"
Ba -1.229 2.129 1.906
Ba -3.429 5.939 5.718
Ba 2.459 0.000 1.906
Ba 1.229 2.129 5.718
Ba 0.000 5.379 0.000
Ba 0.000 5.379 3.812
Ba 4.658 2.689 0.000
Ba 4.658 2.689 3.812
Ba 6.857 0.000 5.718
Ba 3.429 5.939 1.906
Pt -1.817 3.148 5.718
Pt -2.841 4.920 1.906
Pt 3.635 0.000 5.718
Pt 1.817 3.148 1.906
Pt 5.681 0.000 1.906
Pt 2.841 4.920 5.718
```


VASP calculation (GGA-PBE) on crystalline BaPt5 at its relaxed geometry.

Properties
- polymorph energy (0 for the lowest one) (eV/f.u.) = 2.73

The structure in extended XYZ format:
```
6
Lattice="3.385 0.000 0.000 0.000 3.385 0.000 0.000 0.000 10.218" Properties=species:S:1:pos:R:3 pbc="T T T"
Ba 0.000 0.000 0.000
Pt 0.000 0.000 3.674
Pt 0.000 0.000 6.544
Pt 1.693 1.693 2.351
Pt 1.693 1.693 5.109
Pt 1.693 1.693 7.867
```


VASP calculation (GGA-PBE) on crystalline BaPt3 at its relaxed geometry.

Properties
- E_tot (eV/atom) = -5.05

The structure in extended XYZ format:
```
4
Lattice="4.356 0.000 0.000 0.000 4.356 0.000 0.000 0.000 4.356" Properties=species:S:1:pos:R:3 pbc="T T T"
Ba 0.000 0.000 0.000
Pt 0.000 2.178 2.178
Pt 2.178 0.000 2.178
Pt 2.178 2.178 0.000
```


VASP calculation (GGA-PBE) on crystalline Ba3Pt5 at its relaxed geometry.

Properties
- polymorph energy (0 for the lowest one) (eV/f.u.) = 1.52

The structure in extended XYZ format:
```
16
Lattice="10.352 0.000 0.000 -5.176 8.965 0.000 0.000 0.000 4.884" Properties=species:S:1:pos:R:3 pbc="T T T"
Ba -1.862 3.225 1.221
Ba -3.314 5.740 3.663
Ba 3.724 0.000 1.221
Ba 1.862 3.225 3.663
Ba 6.628 0.000 3.663
Ba 3.314 5.740 1.221
Pt -0.794 1.375 3.663
Pt -4.382 7.590 1.221
Pt 1.588 0.000 3.663
Pt 0.794 1.375 1.221
Pt 0.000 5.977 0.000
Pt 0.000 5.977 2.442
Pt 5.176 2.988 0.000
Pt 5.176 2.988 2.442
Pt 8.764 0.000 1.221
Pt 4.382 7.590 3.663
```


VASP calculation (GGA-PBE) on crystalline BaPt3 at its relaxed geometry.

Properties
- E_tot (eV/atom) = -5.15

The structure in extended XYZ format:
```
8
Lattice="-1.969 1.969 12.287 1.969 -1.969 12.287 1.969 1.969 -12.287" Properties=species:S:1:pos:R:3 pbc="T T T"
Ba 0.000 0.000 3.467
Ba 0.000 0.000 21.107
Pt 1.969 0.000 0.000
Pt 1.969 0.000 6.143
Pt 0.000 0.000 10.478
Pt 0.000 1.969 0.000
Pt 0.000 0.000 14.095
Pt 0.000 1.969 6.143
```


VASP calculation (GGA-PBE) on crystalline BaPt4 at its relaxed geometry.

Properties
- polymorph energy (0 for the lowest one) (eV/f.u.) = 0.00

The structure in extended XYZ format:
```
5
Lattice="-2.302 2.302 5.210 2.302 -2.302 5.210 2.302 2.302 -5.210" Properties=species:S:1:pos:R:3 pbc="T T T"
Ba 0.000 0.000 0.000
Pt 2.302 0.000 2.605
Pt 0.000 0.000 3.945
Pt 0.000 0.000 6.474
Pt 0.000 2.302 2.605
```


VASP calculation (GGA-PBE) on crystalline BaPt4 at its relaxed geometry.

Properties
- polymorph energy (0 for the lowest one) (eV/f.u.) = 11.59

The structure in extended XYZ format:
```
5
Lattice="5.249 0.000 0.000 0.000 5.249 0.000 0.000 0.000 5.249" Properties=species:S:1:pos:R:3 pbc="T T T"
Ba 0.000 0.000 0.000
Pt 0.000 0.000 2.625
Pt 0.000 2.625 0.000
Pt 2.625 0.000 0.000
Pt 2.625 2.625 2.625
```